[1]
# TbCe2Si2 (PBE, optimized geometry)
data_TbCe2Si2
_cell_length_a 5.6397
_cell_length_b 4.1417
_cell_length_c 11.2123
_cell_angle_alpha 90.00
_cell_angle_beta 101.46
_cell_angle_gamma 90.00
_space_group_name_H-M_alt 'P 1 21/m 1'
_space_group_IT_number 11
loop_
_space_group_symop_operation_xyz
'x,y,z'
'-x,-y,-z'
'-x,y+1/2,-z'
'x,-y+1/2,z'
loop_
_atom_site_label
_atom_site_type_symbol
_atom_site_fract_x
_atom_site_fract_y
_atom_site_fract_z
Tb1 Tb 0.0344 0.2500 0.2789
Ce1 Ce 0.3179 0.2500 0.9820
Ce2 Ce 0.4297 0.2500 0.6324
Si1 Si 0.1210 0.7500 0.4789
Si2 Si 0.2040 0.7500 0.1372
# **Formation energy without anion corrections**: -0.400 eV/atom

[2]
# Mg5Zn12Pd2 (PBE, optimized geometry)
data_Mg5Zn12Pd2
_cell_length_a 13.1259
_cell_length_b 7.1983
_cell_length_c 6.7556
_cell_angle_alpha 90.00
_cell_angle_beta 90.32
_cell_angle_gamma 90.00
_space_group_name_H-M_alt 'C 1 2/m 1'
_space_group_IT_number 12
loop_
_space_group_symop_operation_xyz
'x,y,z'
'-x,-y,-z'
'-x,y,-z'
'x,-y,z'
'x+1/2,y+1/2,z'
'-x+1/2,-y+1/2,-z'
'-x+1/2,y+1/2,-z'
'x+1/2,-y+1/2,z'
loop_
_atom_site_label
_atom_site_type_symbol
_atom_site_fract_x
_atom_site_fract_y
_atom_site_fract_z
Mg1 Mg 0.0000 0.0000 0.0000
Mg2 Mg 0.1888 0.5000 0.5085
Mg3 Mg 0.2391 0.0000 0.9327
Zn1 Zn 0.0542 0.5000 0.1737
Zn2 Zn 0.0973 0.0000 0.5959
Zn3 Zn 0.1154 0.3021 0.8345
Zn4 Zn 0.1480 0.1837 0.2531
Pd1 Pd 0.0000 0.3048 0.5000
# **Energy of formation**: -0.154 eV per atom

[3]
# Zr3P (PBE, optimized geometry)
data_Zr3P
_cell_length_a 8.8646
_cell_length_b 6.8898
_cell_length_c 5.3744
_cell_angle_alpha 90.00
_cell_angle_beta 90.00
_cell_angle_gamma 90.00
_space_group_name_H-M_alt 'C m c m'
_space_group_IT_number 63
_space_group_name_Hall '-C 2c 2'
loop_
_atom_site_label
_atom_site_type_symbol
_atom_site_fract_x
_atom_site_fract_y
_atom_site_fract_z
Zr1 Zr 0.0000 0.2044 0.2500
Zr2 Zr 0.2110 0.1235 0.7500
P1 P 0.0000 0.3974 0.7500
# **Energy of formation**: -0.382 eV per atom

Computed volume (Å³ per atom) in order:
25.667 16.797 20.515
Computed magnetization (μB per cell) in order:
3.3 0.0 0.0
Computed electronic total energy (eV/atom) in order:
-5.869 -1.925 -8.146